First-principles (meta-GGA SCAN) data for Ca2CdSe2 at its PBEsol-relaxed geometry, as listed in the Alexandria database.

Lattice parameters (Å, degrees): 7.9858 7.9858 3.7353 90.00 90.00 90.00
With the nearest neighbours (Å) after each atom.
Fractional positions:
Ca 0.1550 0.3450 0.0000  6 Se 2.89-3.07
Ca 0.3450 0.8450 0.0000  6 Se 2.89-3.07
Ca 0.6550 0.1550 0.0000  6 Se 2.89-3.07
Ca 0.8450 0.6550 0.0000  6 Se 2.89-3.07
Cd 0.0000 0.0000 0.5000  4 Se 3.04
Cd 0.5000 0.5000 0.5000  4 Se 3.04
Se 0.1501 0.6501 0.5000  6 Ca 2.89-3.07, 2 Cd 3.04
Se 0.3499 0.1501 0.5000  6 Ca 2.89-3.07, 2 Cd 3.04
Se 0.6501 0.8499 0.5000  6 Ca 2.89-3.07, 2 Cd 3.04
Se 0.8499 0.3499 0.5000  6 Ca 2.89-3.07, 2 Cd 3.04

Values from the calculation:
ρ (Mg/m³): 4.89
E_tot (eV/cell): -194.38
Space-group type: No. 127